This record from Alexandria describes a relaxed structure of Ti4NbGa3. The functional is PBE-GGA.

```
Ti4NbGa3
1.0
-3.609 1.469 2.072
-1.901 0.825 -3.897
0.217 -7.297 0.849
Nb Ga Ti
1 3 4
direct
0.500 0.000 0.000 Nb
0.000 0.500 0.000 Ga
0.744 0.244 0.488 Ga
0.256 0.756 0.512 Ga
0.375 0.375 0.751 Ti
0.625 0.625 0.249 Ti
0.125 0.125 0.249 Ti
0.875 0.875 0.751 Ti
```

Output
E = -54.0 eV/cell
Formation enthalpy at 0 K = -0.406 eV per atom
Fermi-level density of states = 3.69 states/eV/f.u.

***

This record from Alexandria describes a relaxed structure of La2YTh. The functional is PBE-GGA.

```
La2YTh
1.0
5.170 0.000 0.000
0.000 5.147 0.000
0.000 0.000 5.147
Y Th La
1 1 2
direct
0.500 0.000 0.000 Y
0.500 0.500 0.500 Th
0.000 0.000 0.500 La
0.000 0.500 0.000 La
```

Output
E = -23.5 eV/cell
Formation enthalpy at 0 K = 0.056 eV per atom
Fermi-level density of states = 5.93 states/eV/f.u.

***

This record from Alexandria describes a relaxed structure of AgIrCl2. The functional is PBE-GGA.

```
AgIrCl2
1.0
-0.607 2.253 -2.124
-2.675 -2.016 -1.374
-4.165 2.736 4.094
Ir Ag Cl
1 1 2
direct
0.500 0.500 0.250 Ir
0.500 0.500 0.750 Ag
0.000 0.000 0.015 Cl
0.000 0.000 0.485 Cl
```

Output
E = -12.4 eV/cell
Fermi-level density of states = 2.82 states/eV/f.u.

***

This record from Alexandria describes a relaxed structure of Ca2Zn5Cd. The functional is PBE-GGA.

```
Ca2Zn5Cd
1.0
4.425 0.000 0.000
-2.212 8.204 0.000
0.000 0.000 9.311
Ca Zn Cd
4 10 2
direct
0.799 0.599 0.750 Ca
0.201 0.401 0.250 Ca
0.000 0.000 0.000 Ca
0.000 0.000 0.500 Ca
0.187 0.374 0.890 Zn
0.813 0.626 0.110 Zn
0.187 0.374 0.610 Zn
0.813 0.626 0.390 Zn
0.344 0.689 0.984 Zn
0.656 0.311 0.016 Zn
0.344 0.689 0.516 Zn
0.656 0.311 0.484 Zn
0.609 0.218 0.750 Zn
0.391 0.782 0.250 Zn
0.446 0.891 0.750 Cd
0.554 0.109 0.250 Cd
```

Output
E = -26.5 eV/cell
Formation enthalpy at 0 K = -0.247 eV per atom
Fermi-level density of states = 3.66 states/eV/f.u.

***

This record from Alexandria describes a relaxed structure of MgAgBiTe3. The functional is PBE-GGA.

```
MgAgBiTe3
1.0
-0.444 4.559 -0.384
-1.109 0.623 8.692
9.365 0.802 -1.314
Mg Ag Bi Te
2 2 2 6
direct
0.250 0.714 0.183 Mg
0.750 0.286 0.817 Mg
0.250 0.093 0.518 Ag
0.750 0.907 0.482 Ag
0.250 0.208 0.178 Bi
0.750 0.792 0.822 Bi
0.750 0.921 0.145 Te
0.250 0.079 0.855 Te
0.250 0.730 0.480 Te
0.750 0.270 0.520 Te
0.750 0.425 0.127 Te
0.250 0.575 0.873 Te
```

Output
E = -39.3 eV/cell
Fermi-level density of states = 0.65 states/eV/f.u.

***

This record from Alexandria describes a relaxed structure of YMg3Re. The functional is PBE-GGA.

```
YMg3Re
1.0
-3.256 3.575 -1.395
-1.833 -3.056 -3.554
-3.371 -1.792 3.279
Y Re Mg
1 1 3
direct
0.500 0.500 0.500 Y
0.000 0.000 0.000 Re
0.000 0.500 0.000 Mg
0.000 0.000 0.500 Mg
0.500 0.000 0.000 Mg
```

Output
E = -20.5 eV/cell
Formation enthalpy at 0 K = 0.646 eV per atom
Fermi-level density of states = 3.12 states/eV/f.u.

***

This record from Alexandria describes a relaxed structure of Pm3Dy5Y3. The functional is PBE-GGA.

```
Pm3Dy5Y3
1.0
-3.241 -3.787 2.405
0.622 -5.529 -7.867
6.432 -0.991 7.106
Pm Dy Y
3 5 3
direct
0.500 0.635 0.635 Pm
0.500 0.000 0.365 Pm
0.500 0.365 0.000 Pm
0.500 0.333 0.667 Dy
0.500 0.667 0.333 Dy
0.500 0.269 0.269 Dy
0.500 0.000 0.731 Dy
0.500 0.731 0.000 Dy
0.000 0.454 0.454 Y
0.000 0.546 0.000 Y
0.000 0.000 0.546 Y
```

Output
E = -47.8 eV/cell
Formation enthalpy at 0 K = 0.804 eV per atom
Fermi-level density of states = 17.78 states/eV/f.u.

***

This record from Alexandria describes a relaxed structure of Ac6CoRh2Cl3. The functional is PBE-GGA.

```
Ac6CoRh2Cl3
1.0
7.412 -0.003 0.001
-3.706 6.419 0.001
-1.235 -2.138 8.000
Ac Co Rh Cl
6 1 2 3
direct
0.933 0.607 0.799 Ac
0.741 0.741 0.201 Ac
0.067 0.393 0.201 Ac
0.607 0.933 0.799 Ac
0.259 0.259 0.799 Ac
0.393 0.067 0.201 Ac
0.000 0.000 0.000 Co
0.333 0.667 0.000 Rh
0.667 0.333 0.000 Rh
0.162 0.838 0.500 Cl
0.838 0.162 0.500 Cl
0.500 0.500 0.500 Cl
```

Output
E = -65.5 eV/cell
Fermi-level density of states = 3.93 states/eV/f.u.

***

This record from Alexandria describes a relaxed structure of Pr6SiTe3P2. The functional is PBE-GGA.

```
Pr6SiTe3P2
1.0
4.333 0.000 0.000
0.000 8.912 0.137
-2.166 -2.752 9.278
Pr Si Te P
6 1 3 2
direct
0.340 0.898 0.680 Pr
0.674 0.564 0.349 Pr
0.660 0.102 0.320 Pr
0.007 0.235 0.014 Pr
0.993 0.765 0.986 Pr
0.326 0.436 0.651 Pr
0.500 0.000 0.000 Si
0.500 0.500 0.000 Te
0.833 0.167 0.666 Te
0.167 0.833 0.334 Te
0.832 0.665 0.665 P
0.168 0.335 0.335 P
```

Output
E = -71.4 eV/cell
Fermi-level density of states = 4.38 states/eV/f.u.

***

This record from Alexandria describes a relaxed structure of Pm2Pr2Nd. The functional is PBE-GGA.

```
Pm2Pr2Nd
1.0
6.295 0.558 -1.167
-2.205 5.727 -1.907
0.337 -0.695 9.711
Pm Pr Nd
4 4 2
direct
0.902 0.248 0.022 Pm
0.226 0.380 0.478 Pm
0.098 0.752 0.978 Pm
0.774 0.620 0.522 Pm
0.453 0.364 0.148 Pr
0.217 0.806 0.352 Pr
0.547 0.636 0.852 Pr
0.783 0.194 0.648 Pr
0.722 0.972 0.250 Nd
0.278 0.028 0.750 Nd
```

Output
E = -46.5 eV/cell
Formation enthalpy at 0 K = 0.111 eV per atom
Fermi-level density of states = 6.37 states/eV/f.u.

***

This record from Alexandria describes a relaxed structure of BeCuBr. The functional is PBE-GGA.

```
BeCuBr
1.0
-0.484 -3.795 5.111
3.679 -3.396 3.960
-1.404 5.321 -3.236
Be Cu Br
1 1 1
direct
0.012 0.012 0.000 Be
0.602 0.602 0.000 Cu
0.386 0.386 0.000 Br
```

Output
E = -8.1 eV/cell
Fermi-level density of states = 0.63 states/eV/f.u.

***

This record from Alexandria describes a relaxed structure of Tm5Ir6. The functional is PBE-GGA.

```
Tm5Ir6
1.0
-3.990 0.750 -1.658
-0.727 -7.280 -1.542
-0.338 2.256 7.633
Tm Ir
5 6
direct
0.000 0.500 0.000 Tm
0.678 0.678 0.356 Tm
0.322 0.322 0.644 Tm
0.362 0.862 0.724 Tm
0.638 0.138 0.276 Tm
0.500 0.726 0.000 Ir
0.500 0.274 0.000 Ir
0.833 0.091 0.666 Ir
0.833 0.576 0.666 Ir
0.167 0.909 0.334 Ir
0.167 0.424 0.334 Ir
```

Output
E = -82.3 eV/cell
Formation enthalpy at 0 K = -0.614 eV per atom
Fermi-level density of states = 5.62 states/eV/f.u.